Density functional theory data (GGA+U) for crystalline K2MnBiO4 at its relaxed geometry.

Calculated values
Electronic total energy ... -5.522 eV per atom
Volume ... 15.73 Å³/atom
Magnetic moment ... 4.0 μB per formula unit

Lattice parameters (Å, degrees): 3.500 5.829 6.455 107.20 90.00 90.00
Last column: magnetic moment on the atom in μB.
Atoms (fractional coordinates):
K  0.500  0.000  0.500  0.00
K  0.000  0.500  0.500  0.00
Mn  0.500  0.500  0.000  4.13
Bi  0.000  0.000  0.000  0.01
O  0.500  0.270  0.181  -0.08
O  0.500  0.730  0.819  -0.08
O  0.000  0.283  0.808  -0.04
O  0.000  0.717  0.192  -0.04